A plane-wave DFT calculation with PBE-GGA was carried out for an optimized crystal structure of AcCe2Tm.

Results
Final energy ... -0.3542 Ry/atom
ΔE_f ... 0.29 eV/atom
Energy above the lowest structure with this stoichiometry ... 144 meV/atom

a = 12.7604 Å, b = 12.7604 Å, c = 12.7604 Å
α = 15.79°, β = 15.79°, γ = 15.79°
Closest atoms and distances in Å follow each position.
Sites, in units of the cell vectors:
Ac 0.0000 0.0000 0.0000  2 Ce 3.44, 6 Ac 3.51
Ce 0.0909 0.0909 0.0909  1 Ac 3.44, 3 Tm 3.51, 6 Ce 3.51
Ce 0.9091 0.9091 0.9091  1 Ac 3.44, 3 Tm 3.51, 6 Ce 3.51
Tm 0.5000 0.5000 0.5000  6 Ce 3.51, 6 Tm 3.51